(1)
GGA-PBE NaLuTlCd, optimized geometry; calculated density = 8.47 g cm⁻³; SG = F-43m; N(E_F) = 2.894 states/eV/cell; E_form = -0.152 eV per atom
1.0
5.226 0.000 0.000
2.613 4.526 0.000
2.613 1.509 4.267
Lu Cd Tl Na
1 1 1 1
Direct
0.000 0.000 0.000
0.750 0.750 0.750
0.250 0.250 0.250
0.500 0.500 0.500

=====

(2)
GGA-PBE PaGeO6, optimized geometry; calculated density = 7.53 g cm⁻³; polymorph energy (0 for the lowest one) = 0.000 eV per atom; formation energy without anion corrections = -1730.9 meV/atom; SG = C2/m; N(E_F) = 2.393 states/eV/cell
1.0
-0.623 4.564 3.073
-3.274 1.431 2.201
1.557 -1.969 4.424
O Pa Ge
6 1 1
Direct
0.838 0.640 0.235
0.162 0.360 0.765
0.478 0.360 0.235
0.211 0.000 0.320
0.789 0.000 0.680
0.522 0.640 0.765
0.000 0.000 0.000
0.500 0.000 0.500

=====

(3)
GGA-PBE Nb2Al3Ga3, optimized geometry; calculated density = 6.20 g cm⁻³; polymorph energy (0 for the lowest one) = 0.000 eV per atom; SG = P-4m2; N(E_F) = 1.270 states/eV/cell; E_form = -0.369 eV per atom
1.0
3.834 0.000 0.000
0.000 3.834 0.000
0.000 0.000 8.673
Al Ga Nb
3 3 2
Direct
0.000 0.500 0.753
0.500 0.500 0.000
0.500 0.000 0.247
0.000 0.000 0.500
0.000 0.000 0.000
0.500 0.500 0.500
0.000 0.500 0.250
0.500 0.000 0.750

=====

(4)
GGA-PBE Nd3PuRu8, optimized geometry; calculated density = 11.08 g cm⁻³; SG = R3m; N(E_F) = 15.436 states/eV/cell; E_form = -0.124 eV per atom
1.0
5.157 0.000 1.557
2.344 4.594 1.557
-0.020 -0.012 9.387
Ru Nd Pu
8 3 1
Direct
0.189 0.189 0.434
0.442 0.938 0.683
0.931 0.438 0.193
0.438 0.438 0.193
0.688 0.688 0.935
0.938 0.442 0.683
0.438 0.931 0.193
0.938 0.938 0.683
0.374 0.374 0.877
0.499 0.499 0.502
0.000 0.000 0.001
0.875 0.875 0.374

=====

(5)
GGA-PBE TlAuSe2, optimized geometry; calculated density = 9.57 g cm⁻³; formation energy without anion corrections = -106.6 meV/atom; SG = R-3m; N(E_F) = 2.541 states/eV/cell
1.0
-4.003 -0.654 5.926
-5.192 -3.610 3.403
-1.823 -4.071 5.628
Tl Au Se
1 1 2
Direct
0.250 0.250 0.250
0.750 0.750 0.750
0.014 0.014 0.014
0.486 0.486 0.486

=====

(6)
GGA-PBE La2Si3PdPt12, optimized geometry; calculated density = 12.92 g cm⁻³; formation energy without anion corrections = -461.8 meV/atom; SG = R-3m; N(E_F) = 7.265 states/eV/cell
1.0
-3.809 -1.706 6.534
-4.062 -6.603 -0.110
2.950 -5.825 4.180
Pt La Si Pd
12 2 3 1
Direct
0.897 0.354 0.354
0.869 0.869 0.381
0.354 0.897 0.354
0.131 0.619 0.131
0.103 0.646 0.646
0.354 0.354 0.897
0.646 0.103 0.646
0.381 0.869 0.869
0.131 0.131 0.619
0.646 0.646 0.103
0.869 0.381 0.869
0.619 0.131 0.131
0.615 0.615 0.615
0.385 0.385 0.385
0.000 0.500 0.000
0.500 0.000 0.000
0.000 0.000 0.500
0.000 0.000 0.000

=====

(7)
GGA-PBE KLaTe2Ir, optimized geometry; calculated density = 6.45 g cm⁻³; formation energy without anion corrections = 735.3 meV/atom; SG = P4/mmm; N(E_F) = 3.786 states/eV/cell
1.0
-4.394 0.318 3.789
2.384 -2.842 3.003
2.456 4.658 2.458
Ir K Te La
1 1 2 1
Direct
0.000 0.500 0.000
0.000 0.000 0.000
0.500 0.000 0.000
0.000 0.000 0.500
0.500 0.500 0.500

=====

(8)
GGA-PBE RbInGaRu2, optimized geometry; calculated density = 5.18 g cm⁻³; SG = P4/mmm; N(E_F) = 4.870 states/eV/cell; E_form = 1.579 eV per atom
1.0
5.055 0.000 0.000
0.000 5.055 0.000
0.000 0.000 5.921
Ru In Ga Rb
2 1 1 1
Direct
0.000 0.500 0.000
0.500 0.000 0.000
0.000 0.000 0.000
0.500 0.500 0.500
0.000 0.000 0.500

=====

(9)
GGA-PBE BeIrPb2, optimized geometry; calculated density = 12.27 g cm⁻³; SG = C2/m; N(E_F) = 1.440 states/eV/cell; E_form = 0.657 eV per atom
1.0
-4.034 -0.512 -2.124
-3.804 -2.262 1.209
-2.498 4.097 2.324
Pb Ir Be
2 1 1
Direct
0.519 0.519 0.495
0.981 0.981 0.005
0.250 0.250 0.250
0.750 0.750 0.750

=====

(10)
GGA-PBE PrNdDy4Tm2, optimized geometry; calculated density = 8.25 g cm⁻³; SG = C2/m; N(E_F) = 20.519 states/eV/cell; E_form = 0.019 eV per atom
1.0
11.971 -0.491 -2.997
0.232 7.122 -0.254
-8.673 -2.998 8.270
Dy Tm Nd Pr
8 4 2 2
Direct
0.750 0.248 0.498
0.749 0.751 0.003
0.748 0.251 0.001
0.251 0.249 0.997
0.250 0.251 0.503
0.250 0.752 0.502
0.750 0.749 0.497
0.252 0.749 0.999
0.500 0.000 0.500
0.500 0.500 0.000
0.000 0.000 0.500
0.500 0.000 0.000
0.000 0.500 0.500
0.000 0.500 0.000
0.500 0.500 0.500
0.000 0.000 0.000

=====

(11)
GGA-PBE MnIn2Tc, optimized geometry; calculated density = 8.75 g cm⁻³; polymorph energy (0 for the lowest one) = 0.234 eV per atom; SG = Cmmm; N(E_F) = 3.482 states/eV/cell; E_form = 0.429 eV per atom
1.0
-1.662 1.121 2.163
1.674 -2.211 1.005
6.486 5.808 1.973
In Tc Mn
2 1 1
Direct
0.000 0.000 0.000
0.000 0.000 0.500
0.500 0.500 0.750
0.500 0.500 0.250

=====

(12)
GGA-PBE RbHAu, optimized geometry; calculated density = 5.50 g cm⁻³; polymorph energy (0 for the lowest one) = 0.119 eV per atom; SG = Immm; N(E_F) = 1.340 states/eV/cell
1.0
-0.169 -4.988 2.264
3.004 -1.799 -3.740
3.521 4.733 4.060
Rb Au H
2 2 2
Direct
0.664 0.164 0.327
0.336 0.836 0.673
0.257 0.500 0.000
0.743 0.500 0.000
0.104 0.604 0.207
0.896 0.396 0.793

=====

| no. | spin magnetization (μB per atom) |
| --- | --- |
| 1 | 0.00 |
| 2 | 0.00 |
| 3 | 0.00 |
| 4 | 0.26 |
| 5 | 0.00 |
| 6 | 0.00 |
| 7 | 0.20 |
| 8 | 0.52 |
| 9 | 0.00 |
| 10 | 0.00 |
| 11 | 1.02 |
| 12 | 0.00 |